# BaPa2FeO8 (PBE with a Hubbard U, optimized geometry)
# Raw total energy (eV/atom): -8.244
data_BaPa2FeO8
_cell_length_a 5.2263
_cell_length_b 5.2294
_cell_length_c 7.1085
_cell_angle_alpha 89.99
_cell_angle_beta 89.99
_cell_angle_gamma 84.03
_symmetry_space_group_name_H-M 'P 1'
_symmetry_Int_Tables_number 1
loop_
_symmetry_equiv_pos_as_xyz
'x,y,z'
loop_
_atom_site_label
_atom_site_type_symbol
_atom_site_fract_x
_atom_site_fract_y
_atom_site_fract_z
O1 O 0.8097 0.1909 0.1872
Fe1 Fe 0.0000 0.0000 0.0000
O2 O 0.3397 0.3382 0.5000
O3 O 0.6603 0.6618 0.5000
Ba1 Ba 0.0000 0.0000 0.5000
O4 O 0.1903 0.8091 0.8128
O5 O 0.1902 0.8089 0.1873
O6 O 0.8098 0.1911 0.8127
Pa1 Pa 0.5000 0.5000 0.7608
Pa2 Pa 0.5000 0.5000 0.2392
O7 O 0.3268 0.3265 0.0000
O8 O 0.6732 0.6735 0.0000